This record from Alexandria describes a geometry-optimized Tl12In3Au structure. The functional is PBE.

Cell and atoms, written as POSCAR:
```
Tl12In3Au
1.0
5.521 0.000 0.000
0.000 5.521 0.000
0.000 0.000 15.496
Tl In Au
12 3 1
Direct
0.500 0.500 0.000
0.500 0.500 0.243
0.500 0.500 0.500
0.500 0.500 0.757
0.500 0.000 0.115
0.500 0.000 0.372
0.500 0.000 0.628
0.500 0.000 0.885
0.000 0.500 0.115
0.000 0.500 0.372
0.000 0.500 0.628
0.000 0.500 0.885
0.000 0.000 0.246
0.000 0.000 0.500
0.000 0.000 0.754
0.000 0.000 0.000
```

Output
ΔH_f (0 K) = 0.03 eV per atom
electronic total energy = -2.460 eV per atom


This record from Alexandria describes a geometry-optimized TlIn9Au2 structure. The functional is PBE.

Cell and atoms, written as POSCAR:
```
TlIn9Au2
1.0
7.531 0.000 3.467
3.766 8.753 1.734
0.105 0.000 9.684
Tl In Au
2 18 4
Direct
0.500 0.000 0.000
0.250 0.500 0.500
0.750 0.500 0.500
0.000 0.000 0.000
0.974 0.937 0.691
0.602 0.063 0.309
0.661 0.191 0.563
0.415 0.809 0.437
0.776 0.809 0.563
0.148 0.191 0.437
0.089 0.937 0.309
0.335 0.063 0.691
0.776 0.563 0.809
0.148 0.437 0.191
0.089 0.309 0.937
0.335 0.691 0.063
0.974 0.691 0.937
0.602 0.309 0.063
0.661 0.563 0.191
0.415 0.437 0.809
0.875 0.250 0.750
0.875 0.750 0.250
0.875 0.250 0.250
0.375 0.750 0.750
```

Output
ΔH_f (0 K) = -0.04 eV per atom
electronic total energy = -2.833 eV per atom


This record from Alexandria describes a geometry-optimized TlInAu2 structure. The functional is PBE.

Cell and atoms, written as POSCAR:
```
TlInAu2
1.0
-2.902 -1.261 -1.694
-0.838 -1.956 2.890
-3.913 5.516 2.599
Au In Tl
2 1 1
Direct
0.000 0.000 0.032
0.500 0.500 0.237
0.000 0.000 0.449
0.500 0.500 0.782
```

Output
ΔH_f (0 K) = -0.04 eV per atom
electronic total energy = -2.956 eV per atom


This record from Alexandria describes a geometry-optimized TlIn4Au4 structure. The functional is PBE.

Cell and atoms, written as POSCAR:
```
TlIn4Au4
1.0
5.570 0.000 0.000
0.000 9.231 0.000
0.000 0.000 9.231
Tl In Au
2 8 8
Direct
0.000 0.000 0.000
0.500 0.500 0.500
0.408 0.343 0.894
0.908 0.606 0.843
0.408 0.657 0.106
0.092 0.157 0.606
0.592 0.894 0.657
0.092 0.843 0.394
0.908 0.394 0.157
0.592 0.106 0.343
0.587 0.796 0.362
0.587 0.204 0.638
0.087 0.862 0.704
0.913 0.296 0.862
0.913 0.704 0.138
0.413 0.362 0.204
0.413 0.638 0.796
0.087 0.138 0.296
```

Output
ΔH_f (0 K) = -0.15 eV per atom
electronic total energy = -3.086 eV per atom


This record from Alexandria describes a geometry-optimized TlInAu2 structure. The functional is PBE.

Cell and atoms, written as POSCAR:
```
TlInAu2
1.0
3.902 0.000 0.000
1.951 3.380 0.000
1.951 1.127 7.424
Tl In Au
1 1 2
Direct
0.499 0.499 0.502
0.667 0.667 0.998
0.079 0.079 0.764
0.255 0.255 0.236
```

Output
ΔH_f (0 K) = -0.06 eV per atom
electronic total energy = -2.971 eV per atom


This record from Alexandria describes a geometry-optimized TlInAu14 structure. The functional is PBE.

Cell and atoms, written as POSCAR:
```
TlInAu14
1.0
6.024 -0.012 0.000
0.013 6.024 0.000
0.000 0.000 8.270
Tl In Au
1 1 14
Direct
0.875 0.875 0.500
0.375 0.375 0.500
0.875 0.875 0.000
0.375 0.375 0.000
0.875 0.375 0.500
0.875 0.375 0.000
0.375 0.875 0.500
0.375 0.875 0.000
0.622 0.128 0.244
0.622 0.128 0.756
0.128 0.622 0.244
0.128 0.622 0.756
0.622 0.622 0.244
0.622 0.622 0.756
0.128 0.128 0.244
0.128 0.128 0.756
```

Output
ΔH_f (0 K) = 0.01 eV per atom
electronic total energy = -3.181 eV per atom


This record from Alexandria describes a geometry-optimized Tl2InAu5 structure. The functional is PBE.

Cell and atoms, written as POSCAR:
```
Tl2InAu5
1.0
6.569 0.736 -2.853
-3.697 4.578 -1.167
-0.002 -0.862 5.937
Tl In Au
2 1 5
Direct
0.415 0.631 0.227
0.415 0.227 0.631
0.023 0.825 0.825
0.892 0.713 0.238
0.559 0.210 0.210
0.681 0.901 0.901
0.892 0.238 0.713
0.124 0.478 0.478
```

Output
ΔH_f (0 K) = -0.02 eV per atom
electronic total energy = -3.001 eV per atom


This record from Alexandria describes a geometry-optimized Tl2In2Au structure. The functional is PBE.

Cell and atoms, written as POSCAR:
```
Tl2In2Au
1.0
-7.150 -1.488 2.201
1.248 -7.460 -0.987
1.497 -0.361 4.620
Tl Au In
4 2 4
Direct
0.349 0.849 0.000
0.849 0.651 0.000
0.651 0.151 0.000
0.151 0.349 0.000
0.000 0.000 0.000
0.500 0.500 0.000
0.161 0.661 0.500
0.661 0.839 0.500
0.839 0.339 0.500
0.339 0.161 0.500
```

Output
ΔH_f (0 K) = 0.12 eV per atom
energy above the most stable polymorph in this dataset = 144.2 meV per atom
electronic total energy = -2.579 eV per atom